(1)
This record from Alexandria via LeMat-Bulk describes an optimized crystal structure of MgBeIr2. The functional is PBE.

Cell lengths 2.8921, 2.8921, 6.2946 Å; angles 90.00, 90.00, 90.00 degrees
Last column: nearest neighbours and their distance in Å.
Element x y z (fractional)
Be (0.5000, 0.5000, 0.7500)  8 Ir 2.45
Mg (0.5000, 0.5000, 0.2500)  8 Ir 2.73, 4 Mg 2.89
Ir (0.0000, 0.0000, 0.9637)  4 Be 2.45, 1 Ir 2.69, 4 Mg 2.73
Ir (0.0000, 0.0000, 0.5363)  4 Be 2.45, 1 Ir 2.69, 4 Mg 2.73

## Properties
* crystal system: tetragonal
* offset from the most stable computed form: 0.00 eV/f.u.
* symmetry: P4/mmm
* energy relative to the elements: -370 meV per atom
* E: -6.13 eV/atom

=====

(2)
This record from Alexandria via LeMat-Bulk describes an optimized crystal structure of MgBe17Ir. The functional is PBE.

Cell lengths 5.5581, 5.5581, 5.5581 Å; angles 82.21, 82.21, 82.21 degrees
Last column: nearest neighbours and their distance in Å.
Element x y z (fractional)
Be (0.2979, 0.6971, 0.0064)  8 Be 2.11-2.26
Be (0.0996, 0.0996, 0.0996)  7 Be 2.12-2.27
Be (0.9963, 0.9963, 0.5064)  10 Be 2.10-2.27
Be (0.9963, 0.5064, 0.9963)  10 Be 2.10-2.27
Be (0.6510, 0.6510, 0.1718)  9 Be 2.12-2.36
Be (0.3397, 0.8576, 0.3397)  9 Be 2.10-2.23
Be (0.1718, 0.6510, 0.6510)  9 Be 2.12-2.36
Be (0.0064, 0.2979, 0.6971)  8 Be 2.11-2.26
Be (0.2979, 0.0064, 0.6971)  8 Be 2.11-2.26
Be (0.9041, 0.9041, 0.9041)  7 Be 2.12-2.36
Be (0.3397, 0.3397, 0.8576)  9 Be 2.10-2.23
Be (0.5064, 0.9963, 0.9963)  10 Be 2.10-2.27
Be (0.6971, 0.2979, 0.0064)  8 Be 2.11-2.26
Be (0.6971, 0.0064, 0.2979)  8 Be 2.11-2.26
Be (0.6510, 0.1718, 0.6510)  9 Be 2.12-2.36
Be (0.0064, 0.6971, 0.2979)  8 Be 2.11-2.26
Be (0.8576, 0.3397, 0.3397)  9 Be 2.10-2.23
Ir (0.3222, 0.3222, 0.3222)  10 Be 2.42-2.56
Mg (0.6615, 0.6615, 0.6615)  19 Be 2.60-2.82

## Properties
* crystal system: trigonal
* symmetry: R3m
* energy relative to the elements: -74 meV per atom
* E: -3.96 eV/atom

=====

(3)
This record from Alexandria via LeMat-Bulk describes an optimized crystal structure of Mg3BeIr. The functional is PBE.

Cell lengths 4.4962, 4.4962, 4.4962 Å; angles 90.00, 90.00, 90.00 degrees
Last column: nearest neighbours and their distance in Å.
Element x y z (fractional)
Ir (0.5000, 0.5000, 0.5000)  12 Mg 3.18
Mg (0.0000, 0.5000, 0.0000)  2 Be 2.25
Mg (0.5000, 0.0000, 0.0000)  2 Be 2.25
Mg (0.0000, 0.0000, 0.5000)  2 Be 2.25
Be (0.0000, 0.0000, 0.0000)  6 Mg 2.25

## Properties
* crystal system: cubic
* offset from the most stable computed form: 0.58 eV/f.u.
* symmetry: Pm-3m
* energy relative to the elements: 648 meV per atom
* E: -2.83 eV/atom

=====

(4)
This record from Alexandria via LeMat-Bulk describes an optimized crystal structure of MgBeIr2. The functional is PBE.

Cell lengths 7.8663, 7.8663, 7.8663 Å; angles 20.89, 20.89, 20.89 degrees
Last column: nearest neighbours and their distance in Å.
Element x y z (fractional)
Mg (0.2500, 0.2500, 0.2500)  6 Ir 2.73, 6 Mg 2.85
Ir (0.4888, 0.4888, 0.4888)  3 Be 2.34
Ir (0.0112, 0.0112, 0.0112)  3 Be 2.34
Be (0.7500, 0.7500, 0.7500)  6 Ir 2.34

## Properties
* crystal system: trigonal
* offset from the most stable computed form: 0.39 eV/f.u.
* symmetry: R-3m
* energy relative to the elements: -273 meV per atom
* E: -6.03 eV/atom

=====

(5)
This record from Alexandria via LeMat-Bulk describes an optimized crystal structure of Mg2BeIr. The functional is PBE.

Cell lengths 3.9555, 3.1695, 5.3202 Å; angles 72.60, 90.00, 90.00 degrees
Last column: nearest neighbours and their distance in Å.
Element x y z (fractional)
Mg (0.0000, 0.9661, 0.9421)  2 Be 2.64, 4 Ir 2.75
Mg (0.5000, 0.2888, 0.2982)  3 Ir 2.72-2.87, 4 Be 2.79
Be (0.0000, 0.6739, 0.5270)  2 Ir 2.24
Ir (0.5000, 0.5711, 0.7328)  2 Be 2.24

## Properties
* crystal system: orthorhombic
* symmetry: Amm2
* energy relative to the elements: -211 meV per atom
* E: -4.15 eV/atom

=====

(6)
This record from Alexandria via LeMat-Bulk describes an optimized crystal structure of MgBeIr2. The functional is PBE.

Cell lengths 4.8122, 4.8122, 4.8122 Å; angles 135.12, 135.12, 65.34 degrees
Last column: nearest neighbours and their distance in Å.
Element x y z (fractional)
Be (0.7500, 0.2500, 0.5000)  8 Ir 2.60-2.73, 4 Mg 2.73
Mg (0.5000, 0.5000, 0.0000)  8 Ir 2.60-2.73, 4 Be 2.73
Ir (0.0000, 0.0000, 0.0000)  4 Mg 2.60, 4 Ir 2.73, 4 Be 2.73
Ir (0.2500, 0.7500, 0.5000)  4 Be 2.60, 4 Ir 2.73, 4 Mg 2.73

## Properties
* crystal system: tetragonal
* offset from the most stable computed form: 1.19 eV/f.u.
* symmetry: I-4m2
* energy relative to the elements: -72 meV per atom
* E: -5.83 eV/atom

=====

(7)
This record from Alexandria via LeMat-Bulk describes an optimized crystal structure of Mg3BeIr. The functional is PBE.

Cell lengths 4.9371, 4.9371, 4.9371 Å; angles 90.00, 90.00, 90.00 degrees
Last column: nearest neighbours and their distance in Å.
Element x y z (fractional)
Mg (0.0000, 0.5000, 0.0000)  2 Ir 2.47
Mg (0.0000, 0.0000, 0.5000)  2 Ir 2.47
Mg (0.5000, 0.0000, 0.0000)  2 Ir 2.47
Be (0.5000, 0.5000, 0.5000)  12 Mg 3.49
Ir (0.0000, 0.0000, 0.0000)  6 Mg 2.47

## Properties
* crystal system: cubic
* offset from the most stable computed form: 0.00 eV/f.u.
* symmetry: Pm-3m
* energy relative to the elements: 531 meV per atom
* E: -2.94 eV/atom

=====

(8)
This record from Alexandria via LeMat-Bulk describes an optimized crystal structure of MgBeIr. The functional is PBE.

Cell lengths 4.8110, 4.8110, 4.8110 Å; angles 96.92, 110.53, 121.93 degrees
Last column: nearest neighbours and their distance in Å.
Element x y z (fractional)
Mg (0.2500, 0.1269, 0.3769)  2 Be 2.67, 6 Ir 2.75-2.83, 2 Mg 2.81
Mg (0.7500, 0.8731, 0.6231)  2 Be 2.67, 6 Ir 2.75-2.83, 2 Mg 2.81
Be (0.5000, 0.0000, 0.0000)  2 Be 2.33, 4 Ir 2.41
Be (0.0000, 0.5000, 0.0000)  2 Be 2.33, 4 Ir 2.41
Ir (0.0000, 0.5000, 0.5000)  4 Be 2.41
Ir (0.5000, 0.5000, 0.0000)  4 Be 2.41

## Properties
* crystal system: orthorhombic
* offset from the most stable computed form: 0.04 eV/f.u.
* symmetry: Imma
* energy relative to the elements: -433 meV per atom
* E: -5.16 eV/atom

=====

(9)
This record from Alexandria via LeMat-Bulk describes an optimized crystal structure of MgBe2Ir2. The functional is PBE.

Cell lengths 3.7556, 3.7556, 5.6562 Å; angles 70.61, 70.61, 90.00 degrees
Last column: nearest neighbours and their distance in Å.
Element x y z (fractional)
Mg (0.0000, 0.0000, 0.0000)  8 Ir 2.93, 8 Be 3.12
Be (0.2500, 0.7500, 0.5000)  4 Ir 2.26
Be (0.7500, 0.2500, 0.5000)  4 Ir 2.26
Ir (0.3754, 0.3754, 0.2493)  4 Be 2.26, 1 Ir 2.49
Ir (0.6246, 0.6246, 0.7507)  4 Be 2.26, 1 Ir 2.49

## Properties
* crystal system: tetragonal
* offset from the most stable computed form: 1.86 eV/f.u.
* symmetry: I4/mmm
* energy relative to the elements: -177 meV per atom
* E: -5.53 eV/atom

=====

(10)
This record from Alexandria via LeMat-Bulk describes an optimized crystal structure of MgBeIr2. The functional is PBE.

Cell lengths 2.7320, 2.7320, 8.6927 Å; angles 90.00, 90.00, 117.52 degrees
Last column: nearest neighbours and their distance in Å.
Element x y z (fractional)
Ir (0.0000, 0.0000, 0.9737)  2 Be 2.25
Ir (0.5000, 0.5000, 0.2486)  2 Mg 2.64, 8 Ir 2.73-2.83
Be (0.5000, 0.5000, 0.7722)  2 Ir 2.25
Mg (0.0000, 0.0000, 0.5055)  2 Ir 2.64, 2 Be 2.72, 6 Mg 2.73-2.83

## Properties
* crystal system: orthorhombic
* offset from the most stable computed form: 2.06 eV/f.u.
* symmetry: Cmm2
* energy relative to the elements: 146 meV per atom
* E: -5.61 eV/atom

=====

(11)
This record from Alexandria via LeMat-Bulk describes an optimized crystal structure of Mg2BeIr. The functional is PBE.

Cell lengths 4.3381, 4.3381, 4.3381 Å; angles 60.00, 60.00, 60.00 degrees
Last column: nearest neighbours and their distance in Å.
Element x y z (fractional)
Be (0.5000, 0.5000, 0.5000)  4 Mg 2.66, 4 Ir 2.66
Ir (0.2500, 0.2500, 0.2500)  4 Be 2.66, 4 Mg 2.66
Mg (0.7500, 0.7500, 0.7500)  4 Mg 2.66, 4 Be 2.66
Mg (0.0000, 0.0000, 0.0000)  4 Ir 2.66, 4 Mg 2.66

## Properties
* crystal system: cubic
* symmetry: F-43m
* energy relative to the elements: -160 meV per atom
* E: -4.10 eV/atom

=====

(12)
This record from Alexandria via LeMat-Bulk describes an optimized crystal structure of Mg4BeIr. The functional is PBE.

Cell lengths 5.2944, 5.2944, 5.2944 Å; angles 60.00, 60.00, 60.00 degrees
Last column: nearest neighbours and their distance in Å.
Element x y z (fractional)
Mg (0.8764, 0.3745, 0.3745)  6 Mg 2.64-2.66
Mg (0.3745, 0.3745, 0.3745)  6 Mg 2.64-2.66
Mg (0.3745, 0.8764, 0.3745)  6 Mg 2.64-2.66
Mg (0.3745, 0.3745, 0.8764)  6 Mg 2.64-2.66
Be (0.7500, 0.7500, 0.7500)  12 Mg 3.11, 4 Ir 3.24
Ir (0.0000, 0.0000, 0.0000)  12 Mg 3.10, 4 Be 3.24

## Properties
* crystal system: cubic
* symmetry: F-43m
* energy relative to the elements: 477 meV per atom
* E: -2.68 eV/atom